Entry 1:
# UMnTcO6, relaxed, DFT GGA+U
# calculated volume	12.90	A^3/atom
# M_tot	3.999	Bohr magnetons per cell
# raw total energy	-8.7213	eV per atom
data_UMnTcO6
_space_group_name_H-M_alt 'P -3 1 c'
_space_group_IT_number 163
_space_group_name_Hall '-P 3 2c'
_cell_length_a 5.3713
_cell_length_b 5.3713
_cell_length_c 9.2952
_cell_angle_alpha 90.00
_cell_angle_beta 90.00
_cell_angle_gamma 120.00
loop_
_atom_site_label
_atom_site_type_symbol
_atom_site_fract_x
_atom_site_fract_y
_atom_site_fract_z
U1 U 0.3333 0.6667 0.2500
Mn1 Mn 0.0000 0.0000 0.0000
Tc1 Tc 0.3333 0.6667 0.7500
O1 O 0.0115 0.3508 0.6332


Entry 2:
# ZrMnTcO2, relaxed, DFT GGA+U
# calculated volume	16.80	A^3/atom
# M_tot	3.276	Bohr magnetons per cell
# raw total energy	-7.4117	eV per atom
data_ZrMnTcO2
_space_group_name_H-M_alt 'P 4/m m m'
_space_group_IT_number 123
_space_group_name_Hall '-P 4 2'
_cell_length_a 3.8858
_cell_length_b 3.8858
_cell_length_c 5.5619
_cell_angle_alpha 90.00
_cell_angle_beta 90.00
_cell_angle_gamma 90.00
loop_
_atom_site_label
_atom_site_type_symbol
_atom_site_fract_x
_atom_site_fract_y
_atom_site_fract_z
Zr1 Zr 0.0000 0.0000 0.0000
Mn1 Mn 0.5000 0.5000 0.0000
Tc1 Tc 0.0000 0.0000 0.5000
O1 O 0.0000 0.5000 0.5000


Entry 3:
# Mn2TeO5, relaxed, DFT GGA+U
# E above lowest polymorph	0.1371	eV/atom
# calculated volume	17.87	A^3/atom
# M_tot	20.000	Bohr magnetons per cell
# raw total energy	-6.6130	eV per atom
data_Mn2TeO5
_space_group_name_H-M_alt 'C 1 m 1'
_space_group_IT_number 8
_space_group_name_Hall 'C -2y'
_cell_length_a 8.7310
_cell_length_b 7.4350
_cell_length_c 5.2381
_cell_angle_alpha 90.00
_cell_angle_beta 122.77
_cell_angle_gamma 90.00
loop_
_atom_site_label
_atom_site_type_symbol
_atom_site_fract_x
_atom_site_fract_y
_atom_site_fract_z
Mn1 Mn 0.0000 0.2250 0.0000
Te1 Te 0.3168 0.5000 0.2602
O1 O 0.0494 0.0000 0.2969
O2 O 0.0623 0.5000 0.1312
O3 O 0.2711 0.2697 0.0733
O4 O 0.4096 0.5000 0.6809


Entry 4:
# MnTe2O5, relaxed, DFT GGA+U
# E above lowest polymorph	0.0026	eV/atom
# calculated volume	16.42	A^3/atom
# M_tot	40.000	Bohr magnetons per cell
# raw total energy	-6.0589	eV per atom
data_MnTe2O5
_space_group_name_H-M_alt 'P 42/n b c'
_space_group_IT_number 133
_cell_length_a 8.9431
_cell_length_b 8.9431
_cell_length_c 13.1409
_cell_angle_alpha 90.00
_cell_angle_beta 90.00
_cell_angle_gamma 90.00
loop_
_space_group_symop_operation_xyz
'x,y,z'
'-x,-y,-z'
'-y+1/2,x,z+1/2'
'y+1/2,-x,-z+1/2'
'-x+1/2,-y+1/2,z'
'x+1/2,y+1/2,-z'
'y,-x+1/2,z+1/2'
'-y,x+1/2,-z+1/2'
'x,-y+1/2,-z'
'-x,y+1/2,z'
'-y+1/2,-x+1/2,-z+1/2'
'y+1/2,x+1/2,z+1/2'
'-x+1/2,y,-z'
'x+1/2,-y,z'
'y,x,-z+1/2'
'-y,-x,z+1/2'
loop_
_atom_site_label
_atom_site_type_symbol
_atom_site_fract_x
_atom_site_fract_y
_atom_site_fract_z
Mn1 Mn 0.2500 0.2500 0.0000
Mn2 Mn 0.2500 0.2500 0.2500
Te1 Te 0.0356 0.5637 0.1164
O1 O 0.0202 0.1252 0.9519
O2 O 0.0524 0.0524 0.7500
O3 O 0.1040 0.1720 0.3668


Entry 5:
# Mn4TeO2, relaxed, DFT GGA+U
# calculated volume	22.34	A^3/atom
# M_tot	36.985	Bohr magnetons per cell
# raw total energy	-6.0843	eV per atom
data_Mn4TeO2
_space_group_name_H-M_alt 'I 4/m m m'
_space_group_IT_number 139
_space_group_name_Hall '-I 4 2'
_cell_length_a 5.1115
_cell_length_b 5.1115
_cell_length_c 11.9685
_cell_angle_alpha 90.00
_cell_angle_beta 90.00
_cell_angle_gamma 90.00
loop_
_atom_site_label
_atom_site_type_symbol
_atom_site_fract_x
_atom_site_fract_y
_atom_site_fract_z
Mn1 Mn 0.0000 0.0000 0.2472
Mn2 Mn 0.0000 0.5000 0.0000
Te1 Te 0.0000 0.0000 0.0000
O1 O 0.0000 0.0000 0.4004


Entry 6:
# Mn3TeO8, relaxed, DFT GGA+U
# calculated volume	12.10	A^3/atom
# M_tot	22.000	Bohr magnetons per cell
# raw total energy	-6.6924	eV per atom
data_Mn3TeO8
_space_group_name_H-M_alt 'P 63 m c'
_space_group_IT_number 186
_space_group_name_Hall 'P 6c -2c'
_cell_length_a 6.0017
_cell_length_b 6.0017
_cell_length_c 9.3063
_cell_angle_alpha 90.00
_cell_angle_beta 90.00
_cell_angle_gamma 120.00
loop_
_atom_site_label
_atom_site_type_symbol
_atom_site_fract_x
_atom_site_fract_y
_atom_site_fract_z
Mn1 Mn 0.1678 0.3355 0.0000
Te1 Te 0.3333 0.6667 0.2769
O1 O 0.0000 0.0000 0.0881
O2 O 0.0414 0.5207 0.1402
O3 O 0.1743 0.3486 0.3887
O4 O 0.3333 0.6667 0.9063


Entry 7:
# MnTeO3, relaxed, DFT GGA+U
# calculated volume	11.62	A^3/atom
# M_tot	3.701	Bohr magnetons per cell
# raw total energy	-5.7711	eV per atom
data_MnTeO3
_space_group_name_H-M_alt 'P m -3 m'
_space_group_IT_number 221
_space_group_name_Hall '-P 4 2 3'
_cell_length_a 3.8733
_cell_length_b 3.8733
_cell_length_c 3.8733
_cell_angle_alpha 90.00
_cell_angle_beta 90.00
_cell_angle_gamma 90.00
loop_
_atom_site_label
_atom_site_type_symbol
_atom_site_fract_x
_atom_site_fract_y
_atom_site_fract_z
Mn1 Mn 0.0000 0.0000 0.0000
Te1 Te 0.5000 0.5000 0.5000
O1 O 0.0000 0.0000 0.5000


Entry 8:
# MnTe2O6, relaxed, DFT GGA+U
# E above lowest polymorph	0.0000	eV/atom
# calculated volume	17.76	A^3/atom
# M_tot	19.993	Bohr magnetons per cell
# raw total energy	-5.8495	eV per atom
data_MnTe2O6
_space_group_name_H-M_alt 'C 1 2/c 1'
_space_group_IT_number 15
_space_group_name_Hall '-C 2yc'
_cell_length_a 10.0271
_cell_length_b 10.4076
_cell_length_c 6.1827
_cell_angle_alpha 90.00
_cell_angle_beta 97.69
_cell_angle_gamma 90.00
loop_
_atom_site_label
_atom_site_type_symbol
_atom_site_fract_x
_atom_site_fract_y
_atom_site_fract_z
Mn1 Mn 0.0000 0.0791 0.2500
Te1 Te 0.2079 0.3973 0.4351
O1 O 0.1147 0.0484 0.5742
O2 O 0.1384 0.4843 0.1541
O3 O 0.1971 0.2164 0.3074


Entry 9:
# Mn5Te3O16, relaxed, DFT GGA+U
# calculated volume	13.20	A^3/atom
# M_tot	21.001	Bohr magnetons per cell
# raw total energy	-6.4346	eV per atom
data_Mn5Te3O16
_space_group_name_H-M_alt 'P 1'
_space_group_IT_number 1
_space_group_name_Hall 'P 1'
_cell_length_a 6.0392
_cell_length_b 6.3328
_cell_length_c 9.4501
_cell_angle_alpha 95.56
_cell_angle_beta 91.08
_cell_angle_gamma 117.97
loop_
_atom_site_label
_atom_site_type_symbol
_atom_site_fract_x
_atom_site_fract_y
_atom_site_fract_z
Mn1 Mn 0.0000 0.0000 0.0000
Mn2 Mn 0.0175 0.5191 0.8007
Mn3 Mn 0.3208 0.6481 0.5316
Mn4 Mn 0.5065 0.5124 0.8034
Mn5 Mn 0.8511 0.7167 0.2941
Te1 Te 0.3481 0.2133 0.2867
Te2 Te 0.5108 0.0150 0.7908
Te3 Te 0.8429 0.2073 0.2881
O1 O 0.0116 0.5210 0.3952
O2 O 0.0501 0.1021 0.4059
O3 O 0.1420 0.3108 0.1605
O4 O 0.1755 0.9154 0.1656
O5 O 0.1986 0.3941 0.6863
O6 O 0.2075 0.8337 0.6559
O7 O 0.3508 0.1643 0.9028
O8 O 0.3676 0.7228 0.8969
O9 O 0.4975 0.5257 0.3939
O10 O 0.5376 0.0959 0.3994
O11 O 0.6242 0.8328 0.6547
O12 O 0.6601 0.3425 0.1794
O13 O 0.6676 0.3196 0.7032
O14 O 0.7075 0.9082 0.1765
O15 O 0.8345 0.1520 0.9012
O16 O 0.8425 0.6764 0.9072


Entry 10:
# Mn3TeO8, relaxed, DFT GGA+U
# calculated volume	13.25	A^3/atom
# M_tot	22.000	Bohr magnetons per cell
# raw total energy	-6.6820	eV per atom
data_Mn3TeO8
_space_group_name_H-M_alt 'C 1 2/m 1'
_space_group_IT_number 12
_space_group_name_Hall '-C 2y'
_cell_length_a 10.5778
_cell_length_b 5.9275
_cell_length_c 5.8728
_cell_angle_alpha 90.00
_cell_angle_beta 120.26
_cell_angle_gamma 90.00
loop_
_atom_site_label
_atom_site_type_symbol
_atom_site_fract_x
_atom_site_fract_y
_atom_site_fract_z
Mn1 Mn 0.0000 0.0000 0.0000
Mn2 Mn 0.2500 0.2500 0.5000
Te1 Te 0.0000 0.5000 0.0000
O1 O 0.0081 0.2524 0.7885
O2 O 0.2094 0.0000 0.2580
O3 O 0.2151 0.5000 0.2494


Entry 11:
# Mn3TeO, relaxed, DFT GGA+U
# E above lowest polymorph	1.4573	eV/atom
# calculated volume	28.12	A^3/atom
# M_tot	14.084	Bohr magnetons per cell
# raw total energy	-4.9065	eV per atom
data_Mn3TeO
_space_group_name_H-M_alt 'P m -3 m'
_space_group_IT_number 221
_space_group_name_Hall '-P 4 2 3'
_cell_length_a 5.1996
_cell_length_b 5.1996
_cell_length_c 5.1996
_cell_angle_alpha 90.00
_cell_angle_beta 90.00
_cell_angle_gamma 90.00
loop_
_atom_site_label
_atom_site_type_symbol
_atom_site_fract_x
_atom_site_fract_y
_atom_site_fract_z
Mn1 Mn 0.0000 0.0000 0.5000
Te1 Te 0.0000 0.0000 0.0000
O1 O 0.5000 0.5000 0.5000


Entry 12:
# Mn3TeO6, relaxed, DFT GGA+U
# E above lowest polymorph	0.0399	eV/atom
# calculated volume	11.79	A^3/atom
# M_tot	30.000	Bohr magnetons per cell
# raw total energy	-6.9927	eV per atom
data_Mn3TeO6
_space_group_name_H-M_alt 'P 1 21/c 1'
_space_group_IT_number 14
_space_group_name_Hall '-P 2ybc'
_cell_length_a 5.3661
_cell_length_b 5.5238
_cell_length_c 9.5711
_cell_angle_alpha 90.00
_cell_angle_beta 123.75
_cell_angle_gamma 90.00
loop_
_atom_site_label
_atom_site_type_symbol
_atom_site_fract_x
_atom_site_fract_y
_atom_site_fract_z
Mn1 Mn 0.0000 0.0000 0.0000
Mn2 Mn 0.2253 0.0459 0.7377
Te1 Te 0.5000 0.0000 0.5000
O1 O 0.1466 0.1800 0.4486
O2 O 0.2435 0.7110 0.4143
O3 O 0.4007 0.0798 0.2733


Entry 13:
# Mn2TeO6, relaxed, DFT GGA+U
# calculated volume	11.46	A^3/atom
# M_tot	16.000	Bohr magnetons per cell
# raw total energy	-6.6294	eV per atom
data_Mn2TeO6
_space_group_name_H-M_alt 'P 42/m n m'
_space_group_IT_number 136
_space_group_name_Hall '-P 4n 2n'
_cell_length_a 4.7780
_cell_length_b 4.7780
_cell_length_c 9.0341
_cell_angle_alpha 90.00
_cell_angle_beta 90.00
_cell_angle_gamma 90.00
loop_
_atom_site_label
_atom_site_type_symbol
_atom_site_fract_x
_atom_site_fract_y
_atom_site_fract_z
Mn1 Mn 0.0000 0.0000 0.1659
Te1 Te 0.0000 0.0000 0.5000
O1 O 0.1851 0.1851 0.3356
O2 O 0.2000 0.2000 0.0000


Entry 14:
# MnTe2O6, relaxed, DFT GGA+U
# E above lowest polymorph	0.0169	eV/atom
# calculated volume	14.55	A^3/atom
# M_tot	9.540	Bohr magnetons per cell
# raw total energy	-5.8326	eV per atom
data_MnTe2O6
_space_group_name_H-M_alt 'C 1 2/m 1'
_space_group_IT_number 12
_space_group_name_Hall '-C 2y'
_cell_length_a 10.2539
_cell_length_b 3.8897
_cell_length_c 7.2657
_cell_angle_alpha 90.00
_cell_angle_beta 115.37
_cell_angle_gamma 90.00
loop_
_atom_site_label
_atom_site_type_symbol
_atom_site_fract_x
_atom_site_fract_y
_atom_site_fract_z
Mn1 Mn 0.0000 0.0000 0.0000
Te1 Te 0.1843 0.0000 0.6626
O1 O 0.0248 0.0000 0.7267
O2 O 0.1472 0.5000 0.0917
O3 O 0.1904 0.5000 0.5919


Entry 15:
# Mn3Te2O, relaxed, DFT GGA+U
# calculated volume	22.70	A^3/atom
# M_tot	120.000	Bohr magnetons per cell
# raw total energy	-6.3253	eV per atom
data_Mn3Te2O
_space_group_name_H-M_alt 'C 1 2/c 1'
_space_group_IT_number 15
_space_group_name_Hall '-C 2yc'
_cell_length_a 6.4588
_cell_length_b 12.6161
_cell_length_c 13.3732
_cell_angle_alpha 90.00
_cell_angle_beta 91.35
_cell_angle_gamma 90.00
loop_
_atom_site_label
_atom_site_type_symbol
_atom_site_fract_x
_atom_site_fract_y
_atom_site_fract_z
Mn1 Mn 0.0000 0.0173 0.2500
Mn2 Mn 0.0000 0.4297 0.2500
Mn3 Mn 0.1691 0.3348 0.8672
Mn4 Mn 0.2156 0.0907 0.5422
Te1 Te 0.2288 0.2031 0.3537
Te2 Te 0.2355 0.1114 0.9196
O1 O 0.2334 0.4934 0.8336


Entry 16:
# MnTeO3, relaxed, DFT GGA+U
# calculated volume	13.21	A^3/atom
# M_tot	19.981	Bohr magnetons per cell
# raw total energy	-6.2282	eV per atom
data_MnTeO3
_space_group_name_H-M_alt 'P n m a'
_space_group_IT_number 62
_space_group_name_Hall '-P 2ac 2n'
_cell_length_a 5.7191
_cell_length_b 8.2270
_cell_length_c 5.6138
_cell_angle_alpha 90.00
_cell_angle_beta 90.00
_cell_angle_gamma 90.00
loop_
_atom_site_label
_atom_site_type_symbol
_atom_site_fract_x
_atom_site_fract_y
_atom_site_fract_z
Mn1 Mn 0.0359 0.2500 0.0019
Te1 Te 0.0000 0.0000 0.5000
O1 O 0.0977 0.7500 0.6351
O2 O 0.1757 0.5714 0.1719